Entry from Alexandria via LeMat-Bulk: crystalline HAu2Cl at its relaxed geometry (PBE).

Cell: 4.523 4.523 4.523 Å, 60.00 60.00 60.00°
Positions (direct):
Cl  0.500  0.500  0.500
Au  0.750  0.750  0.750
H  0.000  0.000  0.000
Au  0.250  0.250  0.250

Polymorph energy (0 for the lowest one) in meV/atom: 677
Volume in Å³/atom: 16.35
Crystal system: cubic
Theoretical density in Mg/m³: 10.9
D(E_F) in states/eV/f.u.: 0.983